This record from Alexandria via LeMat-Bulk describes an optimized crystal structure of SbAuCl. The functional is GGA-PBE.

The structure in POSCAR format:
```
SbAuCl
1.0
-1.755 1.755 5.782
1.755 -1.755 5.782
1.755 1.755 -5.782
Sb Au Cl
1 1 1
direct
0.000 0.000 0.000
0.624 0.624 0.000
0.326 0.326 0.000
```

Energy relative to the elements, uncorrected, eV per atom: -0.024



This record from Alexandria via LeMat-Bulk describes an optimized crystal structure of CeNdZn4. The functional is GGA-PBE.

The structure in POSCAR format:
```
CeNdZn4
1.0
0.000 3.917 3.917
3.917 0.000 3.917
3.917 3.917 0.000
Ce Nd Zn
1 1 4
direct
0.000 0.000 0.000
0.750 0.750 0.750
0.375 0.375 0.375
0.375 0.375 0.874
0.375 0.874 0.375
0.874 0.375 0.375
```

Formation enthalpy at 0 K, eV per formula unit: -1.79



This record from Alexandria via LeMat-Bulk describes an optimized crystal structure of Ba2SbRh. The functional is GGA-PBE.

The structure in POSCAR format:
```
Ba2SbRh
1.0
5.259 0.000 0.000
0.000 5.259 0.000
0.000 0.000 4.588
Ba Sb Rh
2 1 1
direct
0.000 0.500 0.000
0.500 0.000 0.000
0.000 0.000 0.500
0.500 0.500 0.500
```

Energy relative to the elements, uncorrected, eV per atom: -0.337



This record from Alexandria via LeMat-Bulk describes an optimized crystal structure of Bi3OsW. The functional is GGA-PBE.

The structure in POSCAR format:
```
Bi3OsW
1.0
5.279 0.000 0.000
0.000 5.279 0.000
0.000 0.000 5.279
Bi Os W
3 1 1
direct
0.000 0.000 0.500
0.000 0.500 0.000
0.500 0.000 0.000
0.000 0.000 0.000
0.500 0.500 0.500
```

Formation enthalpy at 0 K, eV per formula unit: 8.45



This record from Alexandria via LeMat-Bulk describes an optimized crystal structure of In2NiMo. The functional is GGA-PBE.

The structure in POSCAR format:
```
In2NiMo
1.0
2.967 0.000 0.000
0.000 2.967 0.000
0.000 0.000 8.326
In Ni Mo
2 1 1
direct
0.000 0.000 0.000
0.500 0.500 0.343
0.500 0.500 0.779
0.000 0.000 0.598
```

Formation enthalpy at 0 K, eV per formula unit: 0.81



This record from Alexandria via LeMat-Bulk describes an optimized crystal structure of PmAl2Hg. The functional is GGA-PBE.

The structure in POSCAR format:
```
PmAl2Hg
1.0
2.587 1.493 3.875
-2.587 1.493 3.875
0.000 -2.987 3.875
Pm Al Hg
1 2 1
direct
0.000 0.000 0.000
0.261 0.261 0.261
0.739 0.739 0.739
0.500 0.500 0.500
```

Formation enthalpy at 0 K, eV per formula unit: -0.25



This record from Alexandria via LeMat-Bulk describes an optimized crystal structure of ReAsW. The functional is GGA-PBE.

The structure in POSCAR format:
```
ReAsW
1.0
2.895 0.000 0.000
-1.447 2.507 0.000
0.000 0.000 6.489
Re As W
1 1 1
direct
0.000 0.000 0.000
0.333 0.667 0.670
0.667 0.333 0.326
```

Formation enthalpy at 0 K, eV per formula unit: 0.90



This record from Alexandria via LeMat-Bulk describes an optimized crystal structure of Zr2Co. The functional is GGA-PBE.

The structure in POSCAR format:
```
Zr2Co
1.0
5.514 -1.685 0.000
5.514 1.685 0.000
-4.369 0.000 6.099
Zr Co
4 2
direct
0.086 0.086 0.369
0.334 0.334 0.923
0.666 0.666 0.077
0.914 0.914 0.631
0.364 0.364 0.328
0.636 0.636 0.672
```

Formation enthalpy at 0 K, eV per formula unit: -0.76



This record from Alexandria via LeMat-Bulk describes an optimized crystal structure of Ru2CSe. The functional is GGA-PBE.

The structure in POSCAR format:
```
Ru2CSe
1.0
0.000 2.921 2.921
2.921 0.000 2.921
2.921 2.921 0.000
Ru C Se
2 1 1
direct
0.250 0.250 0.250
0.750 0.750 0.750
0.000 0.000 0.000
0.500 0.500 0.500
```

Energy relative to the elements, uncorrected, eV per atom: 1.018



This record from Alexandria via LeMat-Bulk describes an optimized crystal structure of Na2SnHg2. The functional is GGA-PBE.

The structure in POSCAR format:
```
Na2SnHg2
1.0
4.997 -3.368 0.000
4.997 3.368 0.000
-2.149 0.000 4.123
Na Sn Hg
2 1 2
direct
0.203 0.203 0.202
0.797 0.797 0.798
0.500 0.500 0.000
0.219 0.781 0.500
0.781 0.219 0.500
```

Formation enthalpy at 0 K, eV per formula unit: -0.98



This record from Alexandria via LeMat-Bulk describes an optimized crystal structure of BaYCu2S4. The functional is GGA-PBE.

The structure in POSCAR format:
```
BaYCu2S4
1.0
-3.313 3.331 4.173
3.313 -3.331 4.173
3.313 3.331 -4.173
Ba Y Cu S
1 1 2 4
direct
0.000 0.000 0.000
0.500 0.500 0.000
0.254 0.754 0.500
0.746 0.246 0.500
0.082 0.079 0.567
0.488 0.921 0.003
0.512 0.515 0.433
0.918 0.485 0.997
```

Energy relative to the elements, uncorrected, eV per atom: -1.133



This record from Alexandria via LeMat-Bulk describes an optimized crystal structure of Ac2CeGa3Au12. The functional is GGA-PBE.

The structure in POSCAR format:
```
Ac2CeGa3Au12
1.0
3.488 2.014 10.335
-3.488 2.014 10.335
0.000 -4.028 10.335
Ac Ce Ga Au
2 1 3 12
direct
0.137 0.137 0.137
0.863 0.863 0.863
0.500 0.500 0.500
0.000 0.500 0.500
0.500 0.000 0.500
0.500 0.500 0.000
0.063 0.630 0.630
0.093 0.093 0.685
0.093 0.685 0.093
0.315 0.907 0.907
0.370 0.370 0.937
0.370 0.937 0.370
0.630 0.063 0.630
0.630 0.630 0.063
0.685 0.093 0.093
0.907 0.315 0.907
0.907 0.907 0.315
0.937 0.370 0.370
```

Formation enthalpy at 0 K, eV per formula unit: -6.07



no.,spin magnetization (μB/f.u.)
1,0.00
2,0.36
3,0.00
4,4.05
5,0.00
6,0.00
7,0.00
8,0.00
9,0.00
10,0.00
11,0.00
12,0.65